An optimized crystal structure of Sr2Zr3S8. Source: Alexandria, functional PBE.

Cell: 6.5446 7.6768 8.1536 Å, 118.08 106.43 90.00°
With the nearest neighbours (Å) after each atom.
Sites, in units of the cell vectors:
Zr (0.0000, 0.2629, 0.0000)  6 S 2.51-2.71
Zr (0.0000, 0.7371, 0.0000)  6 S 2.51-2.71
Zr (0.5000, 0.0000, 0.0000)  6 S 2.57-2.58
S (0.9507, 0.6112, 0.2224)  2 Zr 2.51
S (0.3984, 0.8750, 0.2130)  2 Zr 2.57-2.58
S (0.0971, 0.8962, 0.7924)  3 Zr 2.58-2.71
S (0.0493, 0.3888, 0.7776)  2 Zr 2.51
S (0.9029, 0.1038, 0.2076)  3 Zr 2.58-2.71
S (0.6016, 0.6620, 0.7870)  2 Zr 2.57-2.58
S (0.6016, 0.1250, 0.7870)  2 Zr 2.57-2.58
S (0.3984, 0.3380, 0.2130)  2 Zr 2.57-2.58
Sr (0.6652, 0.7376, 0.4753)  6 S 2.96-3.01
Sr (0.3348, 0.2624, 0.5247)  6 S 2.96-3.01

Computed properties:
Raw formation energy, eV/atom: -1.721

***

An optimized crystal structure of MgCo2Pb. Source: Alexandria, functional PBE.

Cell: 8.3960 8.3960 8.3960 Å, 21.33 21.33 21.33°
With the nearest neighbours (Å) after each atom.
Sites, in units of the cell vectors:
Co (0.5005, 0.5005, 0.5005)  3 Mg 2.71, 3 Pb 2.73
Co (0.9995, 0.9995, 0.9995)  3 Mg 2.71, 3 Pb 2.73
Pb (0.7500, 0.7500, 0.7500)  6 Co 2.73
Mg (0.2500, 0.2500, 0.2500)  6 Co 2.71

Computed properties:
Energy relative to the elements, eV/atom: 0.575

***

An optimized crystal structure of BaCd2GeRu. Source: Alexandria, functional PBE.

Cell: 5.2943 5.2943 4.7671 Å, 90.00 90.00 90.00°
With the nearest neighbours (Å) after each atom.
Sites, in units of the cell vectors:
Ge (0.0000, 0.0000, 0.5000)  2 Ru 2.38
Cd (0.0000, 0.5000, 0.0000)  2 Ru 2.65
Cd (0.5000, 0.0000, 0.0000)  2 Ru 2.65
Ba (0.5000, 0.5000, 0.5000)  8 Cd 3.56, 4 Ge 3.74
Ru (0.0000, 0.0000, 0.0000)  2 Ge 2.38, 4 Cd 2.65

Computed properties:
Energy relative to the elements, eV/atom: -0.225

***

An optimized crystal structure of CeDy6Ho8. Source: Alexandria, functional PBE.

Cell: 8.9641 8.9641 8.5639 Å, 58.44 58.44 60.00°
With the nearest neighbours (Å) after each atom.
Sites, in units of the cell vectors:
Ce (0.0000, 0.0000, 0.0000)  6 Dy 3.41, 6 Ho 3.47
Dy (0.4606, 0.8932, 0.8751)  4 Ho 3.35-3.66, 1 Ce 3.41, 4 Dy 3.46-3.71
Dy (0.5394, 0.1068, 0.1249)  4 Ho 3.35-3.66, 1 Ce 3.41, 4 Dy 3.46-3.71
Dy (0.2289, 0.5394, 0.1249)  4 Ho 3.35-3.66, 1 Ce 3.41, 4 Dy 3.46-3.71
Dy (0.1068, 0.2289, 0.1249)  4 Ho 3.35-3.66, 1 Ce 3.41, 4 Dy 3.46-3.71
Dy (0.8932, 0.7711, 0.8751)  4 Ho 3.35-3.66, 1 Ce 3.41, 4 Dy 3.46-3.71
Dy (0.7711, 0.4606, 0.8751)  4 Ho 3.35-3.66, 1 Ce 3.41, 4 Dy 3.46-3.71
Ho (0.2817, 0.8881, 0.5803)  3 Dy 3.36-3.66, 5 Ho 3.38-3.40, 1 Ce 3.47
Ho (0.7501, 0.7183, 0.4197)  3 Dy 3.36-3.66, 5 Ho 3.38-3.40, 1 Ce 3.47
Ho (0.1119, 0.7501, 0.4197)  3 Dy 3.36-3.66, 5 Ho 3.38-3.40, 1 Ce 3.47
Ho (0.7183, 0.1119, 0.4197)  3 Dy 3.36-3.66, 5 Ho 3.38-3.40, 1 Ce 3.47
Ho (0.4229, 0.4229, 0.7313)  4 Ho 3.16-3.38, 3 Dy 3.35
Ho (0.2499, 0.2817, 0.5803)  3 Dy 3.36-3.66, 5 Ho 3.38-3.40, 1 Ce 3.47
Ho (0.8881, 0.2499, 0.5803)  3 Dy 3.36-3.66, 5 Ho 3.38-3.40, 1 Ce 3.47
Ho (0.5771, 0.5771, 0.2687)  4 Ho 3.16-3.38, 3 Dy 3.35

Computed properties:
Energy relative to the elements, eV/atom: 0.131

***

An optimized crystal structure of Y2AgPb. Source: Alexandria, functional PBE.

Cell: 4.2418 4.2418 6.3136 Å, 90.00 90.00 90.00°
With the nearest neighbours (Å) after each atom.
Sites, in units of the cell vectors:
Pb (0.5000, 0.5000, 0.7948)  6 Y 3.13-3.18
Y (0.5000, 0.5000, 0.2989)  2 Pb 3.13-3.18, 4 Ag 3.16
Y (0.0000, 0.0000, 0.9522)  2 Ag 3.15-3.17, 4 Pb 3.16
Ag (0.0000, 0.0000, 0.4541)  6 Y 3.15-3.17

Computed properties:
Energy relative to the elements, eV/atom: -0.211

***

An optimized crystal structure of CaTb2Ga3. Source: Alexandria, functional PBE.

Cell: 3.5952 3.5952 10.9828 Å, 90.00 90.00 90.00°
With the nearest neighbours (Å) after each atom.
Sites, in units of the cell vectors:
Ga (0.0000, 0.0000, 0.0000)  8 Tb 3.13
Ga (0.0000, 0.0000, 0.3277)  4 Tb 3.10, 4 Ca 3.17
Ga (0.0000, 0.0000, 0.6723)  4 Tb 3.10, 4 Ca 3.17
Ca (0.5000, 0.5000, 0.5000)  8 Ga 3.17
Tb (0.5000, 0.5000, 0.1664)  8 Ga 3.10-3.13
Tb (0.5000, 0.5000, 0.8336)  8 Ga 3.10-3.13

Computed properties:
Energy relative to the elements, eV/atom: -0.529

***

What did the fifth record say?
An optimized crystal structure of Y2AgPb. Source: Alexandria, functional PBE.

Cell: 4.2418 4.2418 6.3136 Å, 90.00 90.00 90.00°
With the nearest neighbours (Å) after each atom.
Sites, in units of the cell vectors:
Pb (0.5000, 0.5000, 0.7948)  6 Y 3.13-3.18
Y (0.5000, 0.5000, 0.2989)  2 Pb 3.13-3.18, 4 Ag 3.16
Y (0.0000, 0.0000, 0.9522)  2 Ag 3.15-3.17, 4 Pb 3.16
Ag (0.0000, 0.0000, 0.4541)  6 Y 3.15-3.17

Computed properties:
Energy relative to the elements, eV/atom: -0.211